Record 1
This record from Alexandria via LeMat-Bulk describes a relaxed structure of KY2Te. The functional is PBE.

Summary:
The value obtained for the formation energy (no corrections) is -369.8 meV per atom. Its magnetization is 0.00 μB per cell. The value obtained for the total energy is -18.65 eV for the cell shown.

Lattice parameters (Å, degrees): 7.2465 7.2465 5.9115 65.92 65.92 30.72
Sites, in units of the cell vectors:
Y 0.5542 0.5542 0.4459
Y 0.9458 0.9458 0.0541
K 0.7500 0.7500 0.7500
Te 0.2500 0.2500 0.2500

Record 2
This record from Alexandria via LeMat-Bulk describes a relaxed structure of KY6Te8. The functional is PBE.

Summary:
The value obtained for the formation energy (no corrections) is -1358.0 meV per atom. Its magnetization is 1.16 μB per cell. The value obtained for the total energy is -85.39 eV for the cell shown.

Lattice parameters (Å, degrees): 4.4648 11.6672 11.6672 120.00 90.00 90.00
Last column: magnetic moment on the atom in μB.
Sites, in units of the cell vectors:
Te 0.7505 0.6516 0.9554  -0.01
Te 0.7505 0.6667 0.3333  0.00
Y 0.2506 0.6491 0.1357  0.10
Te 0.2495 0.3484 0.0446  -0.01
K 0.5000 0.0000 0.0000  0.00
Y 0.2506 0.4866 0.3509  0.10
Y 0.7494 0.1357 0.4866  0.10
Te 0.7505 0.0446 0.6961  -0.01
Te 0.7505 0.3039 0.3484  -0.01
Te 0.2495 0.6961 0.6516  -0.01
Y 0.7494 0.3509 0.8643  0.10
Y 0.7494 0.5134 0.6491  0.10
Te 0.2495 0.3333 0.6667  0.00
Y 0.2506 0.8643 0.5134  0.10
Te 0.2495 0.9554 0.3039  -0.01

Record 3
This record from Alexandria via LeMat-Bulk describes a relaxed structure of KY2Te. The functional is PBE.

Summary:
The value obtained for the formation energy (no corrections) is -186.4 meV per atom. Its magnetization is 0.00 μB per cell. The value obtained for the total energy is -17.91 eV for the cell shown.

Lattice parameters (Å, degrees): 5.2932 3.9542 6.9419 76.44 90.00 90.00
Sites, in units of the cell vectors:
Te 0.5000 0.7500 0.7500
Y 0.0000 0.5980 0.5444
Y 0.0000 0.9020 0.9556
K 0.5000 0.2500 0.2500

Record 4
This record from Alexandria via LeMat-Bulk describes a relaxed structure of KY2Te. The functional is PBE.

Summary:
The value obtained for the formation energy (no corrections) is -122.2 meV per atom. Its magnetization is 0.00 μB per cell. The value obtained for the total energy is -17.66 eV for the cell shown.

Lattice parameters (Å, degrees): 6.6294 6.6294 6.6294 137.44 137.44 61.77
Sites, in units of the cell vectors:
Te 0.7500 0.2500 0.5000
Y 0.5000 0.5000 0.0000
K 0.2500 0.7500 0.5000
Y 0.0000 0.0000 0.0000

Record 5
This record from Alexandria via LeMat-Bulk describes a relaxed structure of KYTe2. The functional is PBE.

Summary:
The value obtained for the formation energy (no corrections) is -376.0 meV per atom. Its magnetization is 0.00 μB per cell. The value obtained for the total energy is -15.35 eV for the cell shown.

Lattice parameters (Å, degrees): 5.5768 5.5768 5.5768 60.00 60.00 60.00
Sites, in units of the cell vectors:
Y 0.7500 0.7500 0.7500
Te 0.0000 0.0000 0.0000
K 0.5000 0.5000 0.5000
Te 0.2500 0.2500 0.2500

Record 6
This record from Alexandria via LeMat-Bulk describes a relaxed structure of KY3Te4. The functional is PBE.

Summary:
The value obtained for the formation energy (no corrections) is -1360.1 meV per atom. Its magnetization is 0.00 μB per cell. The value obtained for the total energy is -87.87 eV for the cell shown.

Lattice parameters (Å, degrees): 4.4267 4.4267 30.7491 90.00 90.00 120.00
Sites, in units of the cell vectors:
Y 0.3333 0.6667 0.6147
Y 0.6667 0.3333 0.1147
Te 0.3333 0.6667 0.0571
K 0.3333 0.6667 0.2500
K 0.6667 0.3333 0.7500
Te 0.0000 0.0000 0.3291
Y 0.0000 0.0000 0.5000
Te 0.6667 0.3333 0.9429
Te 0.6667 0.3333 0.5571
Te 0.3333 0.6667 0.4429
Te 0.0000 0.0000 0.8291
Y 0.6667 0.3333 0.3853
Y 0.3333 0.6667 0.8853
Te 0.0000 0.0000 0.1709
Y 0.0000 0.0000 0.0000
Te 0.0000 0.0000 0.6709

Record 7
This record from Alexandria via LeMat-Bulk describes a relaxed structure of KYTe2. The functional is PBE.

Summary:
The value obtained for the formation energy (no corrections) is -1394.4 meV per atom. Its magnetization is 0.00 μB per cell. The value obtained for the total energy is -19.42 eV for the cell shown.

Lattice parameters (Å, degrees): 4.4714 4.4712 8.4414 90.01 90.00 120.00
Sites, in units of the cell vectors:
Te 0.6667 0.8334 0.7930
Te 0.3333 0.1666 0.2070
K 0.0000 0.5000 0.5000
Y 0.0000 0.5000 0.0000

Record 8
This record from Alexandria via LeMat-Bulk describes a relaxed structure of KY2Te. The functional is PBE.

Summary:
The value obtained for the formation energy (no corrections) is -290.2 meV per atom. Its magnetization is 0.94 μB per cell. The value obtained for the total energy is -18.33 eV for the cell shown.

Lattice parameters (Å, degrees): 6.9505 6.9505 7.2583 56.21 56.21 32.07
Last column: magnetic moment on the atom in μB.
Sites, in units of the cell vectors:
K 0.5573 0.5573 0.5009  0.01
Y 0.7198 0.7198 0.8057  0.19
Te 0.2899 0.2899 0.0451  0.00
Y 0.9330 0.9330 0.1483  0.20